Entry 1:
Material: Zr2CBrF
Method: DFT, GGA-PBE
State: relaxed

a = 4.9502 Å, b = 3.9515 Å, c = 4.9502 Å
α = 90.00°, β = 90.00°, γ = 90.00°
Fractional positions:
1 C 0.0000 0.5000 0.0000
2 Br 0.0000 0.0000 0.0000
3 Zr 0.0000 0.0000 0.5000
4 Zr 0.5000 0.0000 0.0000
5 F 0.5000 0.5000 0.5000

Uncorrected formation energy   5.5 eV/f.u.
VASP energy   -0.1791 Ha/atom


Entry 2:
Material: AlReGe2N
Method: DFT, GGA-PBE
State: relaxed

a = 4.6561 Å, b = 4.5791 Å, c = 4.6561 Å
α = 90.00°, β = 90.00°, γ = 90.00°
Fractional positions:
1 Re 0.0000 0.5000 0.0000
2 Ge 0.0000 0.0000 0.5000
3 Ge 0.5000 0.0000 0.0000
4 Al 0.0000 0.0000 0.0000
5 N 0.5000 0.5000 0.5000

Uncorrected formation energy   11.5 eV/f.u.
VASP energy   -0.1634 Ha/atom